Record 1
Computed, not measured: a geometry-optimized BaSrNi4Sn2 structure at the PBE level of DFT.

Lattice parameters (Å, degrees): 4.4035 4.4035 10.8474 90.00 90.00 120.00
Fractional coordinates of all 8 atoms:
Ba 0.0000 0.0000 0.0000
Ni 0.6667 0.3333 0.2285
Ni 0.0000 0.0000 0.2885
Ni 0.0000 0.0000 0.7115
Ni 0.6667 0.3333 0.7715
Sn 0.3333 0.6667 0.2595
Sn 0.3333 0.6667 0.7405
Sr 0.6667 0.3333 0.5000

Calculated values
The total moment is 0.00 μB/atom. For the total energy, the calculation gives -4.56 eV/atom. For the calculated volume, the calculation gives 22.77 A^3/atom.

Record 2
Computed, not measured: a geometry-optimized Pd3C2Se2 structure at the PBE level of DFT.

Lattice parameters (Å, degrees): 6.5035 6.5035 7.7388 124.18 124.18 67.14
Fractional coordinates of all 14 atoms:
C 0.2928 0.2928 0.2223
C 0.0559 0.0559 0.4924
C 0.9441 0.9441 0.5076
C 0.7072 0.7072 0.7777
Pd 0.5000 0.0000 0.0000
Pd 0.0000 0.5000 0.0000
Pd 0.1961 0.1961 0.3735
Pd 0.6823 0.3177 0.5000
Pd 0.3177 0.6823 0.5000
Pd 0.8039 0.8039 0.6265
Se 0.7438 0.3435 0.2055
Se 0.3435 0.7438 0.2055
Se 0.6565 0.2562 0.7945
Se 0.2562 0.6565 0.7945

Calculated values
For the calculated volume, the calculation gives 15.91 A^3/atom. The relative energy among the computed polymorphs comes out at 0.0000 eV per atom.

Record 3
Computed, not measured: a geometry-optimized Gd2Er3Lu3 structure at the PBE level of DFT.

Lattice parameters (Å, degrees): 7.1212 7.1212 5.5488 90.00 90.00 120.00
Fractional coordinates of all 8 atoms:
Er 0.3316 0.1658 0.5000
Er 0.8342 0.1658 0.5000
Er 0.8342 0.6684 0.5000
Gd 0.6667 0.3333 0.0000
Gd 0.3333 0.6667 0.5000
Lu 0.1657 0.3314 0.0000
Lu 0.1657 0.8343 0.0000
Lu 0.6686 0.8343 0.0000

Calculated values
The total moment is 0.01 μB/atom. For the total energy, the calculation gives -4.57 eV/atom. For the calculated volume, the calculation gives 30.46 A^3/atom.

Record 4
Computed, not measured: a geometry-optimized AcNbPO structure at the PBE level of DFT.

Lattice parameters (Å, degrees): 4.1082 4.1082 9.5542 90.00 90.00 90.00
Fractional coordinates of all 8 atoms:
Ac 0.0000 0.5000 0.1384
Ac 0.5000 0.0000 0.8616
Nb 0.0000 0.0000 0.5000
Nb 0.5000 0.5000 0.5000
O 0.0000 0.0000 0.0000
O 0.5000 0.5000 0.0000
P 0.5000 0.0000 0.3360
P 0.0000 0.5000 0.6640

Calculated values
The total moment is 0.01 μB/atom. For the calculated volume, the calculation gives 20.16 A^3/atom. The relative energy among the computed polymorphs comes out at 0.0000 eV per atom.

Record 5
Computed, not measured: a geometry-optimized DyPdNO structure at the PBE level of DFT.

Lattice parameters (Å, degrees): 5.5302 7.6392 5.4405 90.00 90.00 90.00
Fractional coordinates of all 16 atoms:
Dy 0.0349 0.3596 0.3773
Dy 0.5349 0.6404 0.3773
Dy 0.4651 0.3596 0.8773
Dy 0.9651 0.6404 0.8773
N 0.3548 0.1526 0.1929
N 0.8548 0.8474 0.1929
N 0.1452 0.1526 0.6929
N 0.6452 0.8474 0.6929
O 0.7511 0.4687 0.1224
O 0.2511 0.5313 0.1224
O 0.7489 0.4687 0.6224
O 0.2489 0.5313 0.6224
Pd 0.0596 0.0324 0.0098
Pd 0.5596 0.9676 0.0098
Pd 0.4404 0.0324 0.5098
Pd 0.9404 0.9676 0.5098

Calculated values
The total moment is 0.00 μB/atom. For the calculated volume, the calculation gives 14.37 A^3/atom. The relative energy among the computed polymorphs comes out at 0.0000 eV per atom.

Record 6
Computed, not measured: a geometry-optimized Lu2Ta4C3S3 structure at the PBE level of DFT.

Lattice parameters (Å, degrees): 5.8291 5.8291 12.3343 76.52 76.52 60.23
Fractional coordinates of all 24 atoms:
C 0.6719 0.1556 0.0000
C 0.0000 0.5000 0.0000
C 0.3281 0.8444 0.0000
C 0.8444 0.3281 0.4999
C 0.5000 0.0000 0.5000
C 0.1556 0.6719 0.5001
Lu 0.6242 0.4638 0.1097
Lu 0.5362 0.3758 0.3903
Lu 0.4638 0.6242 0.6097
Lu 0.3758 0.5362 0.8903
S 0.5834 0.7739 0.2493
S 0.9389 0.0611 0.2500
S 0.2261 0.4166 0.2507
S 0.7739 0.5834 0.7493
S 0.0611 0.9389 0.7500
S 0.4166 0.2261 0.7507
Ta 0.9752 0.7964 0.0908
Ta 0.3010 0.1443 0.0909
Ta 0.8557 0.6990 0.4091
Ta 0.2036 0.0248 0.4092
Ta 0.7964 0.9752 0.5908
Ta 0.1443 0.3010 0.5909
Ta 0.6990 0.8557 0.9091
Ta 0.0248 0.2036 0.9092

Calculated values
The total moment is 0.00 μB/atom. For the total energy, the calculation gives -9.01 eV/atom. For the calculated volume, the calculation gives 14.60 A^3/atom.

Record 7
Computed, not measured: a geometry-optimized DyTmBe2Si2 structure at the PBE level of DFT.

Lattice parameters (Å, degrees): 3.8543 3.8543 7.9705 90.00 90.00 120.00
Fractional coordinates of all 6 atoms:
Be 0.6667 0.3333 0.2528
Be 0.3333 0.6667 0.7472
Dy 0.0000 0.0000 0.0000
Si 0.3333 0.6667 0.2534
Si 0.6667 0.3333 0.7466
Tm 0.0000 0.0000 0.5000

Calculated values
The total moment is 0.00 μB/atom. For the total energy, the calculation gives -5.22 eV/atom. For the calculated volume, the calculation gives 17.09 A^3/atom.

Record 8
Computed, not measured: a geometry-optimized GdAl5Ni structure at the PBE level of DFT.

Lattice parameters (Å, degrees): 4.2347 4.2347 6.8542 90.00 90.00 90.00
Fractional coordinates of all 7 atoms:
Al 0.5000 0.5000 0.0000
Al 0.5000 0.0000 0.3076
Al 0.0000 0.5000 0.3076
Al 0.5000 0.0000 0.6924
Al 0.0000 0.5000 0.6924
Gd 0.0000 0.0000 0.0000
Ni 0.0000 0.0000 0.5000

Calculated values
The total moment is 0.00 μB/atom. For the total energy, the calculation gives -4.59 eV/atom. For the calculated volume, the calculation gives 17.56 A^3/atom.

Record 9
Computed, not measured: a geometry-optimized HfZnSn2 structure at the PBE level of DFT.

Lattice parameters (Å, degrees): 5.0505 5.0505 5.0505 60.00 60.00 60.00
Fractional coordinates of all 4 atoms:
Hf 0.5000 0.5000 0.5000
Sn 0.0000 0.0000 0.0000
Sn 0.2500 0.2500 0.2500
Zn 0.7500 0.7500 0.7500

Calculated values
The total moment is 0.00 μB/atom. For the total energy, the calculation gives -4.55 eV/atom. For the calculated volume, the calculation gives 22.77 A^3/atom.

Record 10
Computed, not measured: a geometry-optimized CsZrTlSe3 structure at the PBE level of DFT.

Lattice parameters (Å, degrees): 16.7326 3.9694 12.0340 90.00 90.00 90.00
Fractional coordinates of all 24 atoms:
Cs 0.2667 0.7500 0.1072
Cs 0.7667 0.7500 0.3928
Cs 0.2333 0.2500 0.6072
Cs 0.7333 0.2500 0.8928
Se 0.0507 0.7500 0.1092
Se 0.8281 0.7500 0.1097
Se 0.4439 0.2500 0.1532
Se 0.9439 0.2500 0.3468
Se 0.3281 0.7500 0.3903
Se 0.5507 0.7500 0.3908
Se 0.4493 0.2500 0.6092
Se 0.6719 0.2500 0.6097
Se 0.0561 0.7500 0.6532
Se 0.5561 0.7500 0.8468
Se 0.1719 0.2500 0.8903
Se 0.9493 0.2500 0.8908
Tl 0.5754 0.7500 0.1340
Tl 0.0754 0.7500 0.3660
Tl 0.9246 0.2500 0.6340
Tl 0.4246 0.2500 0.8660
Zr 0.9366 0.2500 0.1301
Zr 0.4366 0.2500 0.3699
Zr 0.5634 0.7500 0.6301
Zr 0.0634 0.7500 0.8699

Calculated values
The total moment is 0.00 μB/atom. For the calculated volume, the calculation gives 33.30 A^3/atom. The relative energy among the computed polymorphs comes out at 0.0000 eV per atom.

Record 11
Computed, not measured: a geometry-optimized UCu4Au structure at the PBE level of DFT.

Lattice parameters (Å, degrees): 5.0336 5.0336 5.0336 120.00 90.00 120.00
Site moments in Bohr magnetons follow the coordinates.
Fractional coordinates of all 6 atoms:
Au 0.7500 0.5000 0.2500  -0.03
Cu 0.3760 0.7521 0.1281  -0.04
Cu 0.8719 0.2479 0.6240  -0.03
Cu 0.3760 0.7521 0.6240  -0.04
Cu 0.3760 0.2479 0.6240  -0.04
U 0.0000 0.0000 0.0000  1.53

Calculated values
The total moment is 0.27 μB/atom. For the total energy, the calculation gives -4.93 eV/atom. For the calculated volume, the calculation gives 15.03 A^3/atom.

Record 12
Computed, not measured: a geometry-optimized SrNdAgTeSe2 structure at the PBE level of DFT.

Lattice parameters (Å, degrees): 7.5704 7.5704 11.4467 90.00 90.00 147.18
Fractional coordinates of all 12 atoms:
Ag 0.5209 0.4791 0.2500
Ag 0.4791 0.5209 0.7500
Nd 0.0000 0.0000 0.0000
Nd 0.0000 0.0000 0.5000
Se 0.6345 0.3655 0.0683
Se 0.6345 0.3655 0.4317
Se 0.3655 0.6345 0.5683
Se 0.3655 0.6345 0.9317
Sr 0.2209 0.7791 0.2500
Sr 0.7791 0.2209 0.7500
Te 0.8963 0.1037 0.2500
Te 0.1037 0.8963 0.7500

Calculated values
The total moment is 0.00 μB/atom. For the total energy, the calculation gives -4.64 eV/atom. For the calculated volume, the calculation gives 29.63 A^3/atom.

Record 13
Computed, not measured: a geometry-optimized LuCdNO structure at the PBE level of DFT.

Lattice parameters (Å, degrees): 3.8137 3.8137 7.8693 90.00 90.00 90.00
Fractional coordinates of all 8 atoms:
Cd 0.7500 0.2500 0.5000
Cd 0.2500 0.7500 0.5000
Lu 0.2500 0.2500 0.1314
Lu 0.7500 0.7500 0.8686
N 0.7500 0.7500 0.3143
N 0.2500 0.2500 0.6857
O 0.7500 0.2500 0.0000
O 0.2500 0.7500 0.0000

Calculated values
The total moment is 0.00 μB/atom. For the calculated volume, the calculation gives 14.31 A^3/atom. The relative energy among the computed polymorphs comes out at 0.2692 eV per atom.

Record 14
Computed, not measured: a geometry-optimized TlNi15 structure at the PBE level of DFT.

Lattice parameters (Å, degrees): 4.9727 3.4520 29.2733 90.00 90.01 90.00
Site moments in Bohr magnetons follow the coordinates.
Fractional coordinates of all 32 atoms:
Ni 0.3751 0.0000 0.1841  0.38
Ni 0.6238 0.5000 0.2240  0.48
Ni 0.1261 0.5000 0.2240  0.49
Ni 0.8753 0.0000 0.2656  0.58
Ni 0.3746 0.0000 0.2678  0.59
Ni 0.1247 0.5000 0.3092  0.62
Ni 0.6254 0.5000 0.3094  0.62
Ni 0.8744 0.0000 0.3517  0.62
Ni 0.3754 0.0000 0.3522  0.64
Ni 0.6249 0.5000 0.3943  0.63
Ni 0.1250 0.5000 0.3945  0.63
Ni 0.8752 0.0000 0.4366  0.66
Ni 0.3748 0.0000 0.4368  0.64
Ni 0.6251 0.5000 0.4788  0.62
Ni 0.1249 0.5000 0.4788  0.63
Ni 0.8749 0.0000 0.5208  0.63
Ni 0.3751 0.0000 0.5210  0.62
Ni 0.6250 0.5000 0.5634  0.62
Ni 0.1250 0.5000 0.5635  0.64
Ni 0.8749 0.0000 0.6059  0.61
Ni 0.3752 0.0000 0.6059  0.61
Ni 0.6251 0.5000 0.6478  0.63
Ni 0.1250 0.5000 0.6484  0.62
Ni 0.8764 0.0000 0.6908  0.62
Ni 0.3736 0.0000 0.6908  0.62
Ni 0.6249 0.5000 0.7326  0.60
Ni 0.1251 0.5000 0.7342  0.59
Ni 0.3764 0.0000 0.7758  0.49
Ni 0.8737 0.0000 0.7759  0.49
Ni 0.6251 0.5000 0.8155  0.39
Tl 0.8750 0.0000 0.1572  -0.02
Tl 0.1249 0.5000 0.8426  -0.02

Calculated values
The total moment is 0.54 μB/atom. For the calculated volume, the calculation gives 15.70 A^3/atom. The relative energy among the computed polymorphs comes out at 0.0032 eV per atom.

Record 15
Computed, not measured: a geometry-optimized Li2Pa2O5 structure at the PBE level of DFT.

Lattice parameters (Å, degrees): 6.8107 3.7827 3.7827 90.00 90.00 90.00
Site moments in Bohr magnetons follow the coordinates.
Fractional coordinates of all 9 atoms:
Li 0.2409 0.5000 0.5000  0.00
Li 0.7591 0.5000 0.5000  0.00
O 0.2124 0.5000 0.0000  -0.02
O 0.7876 0.5000 0.0000  -0.02
O 0.2124 0.0000 0.5000  -0.02
O 0.7876 0.0000 0.5000  -0.02
O 0.5000 0.5000 0.5000  -0.01
Pa 0.0000 0.0000 0.0000  0.93
Pa 0.5000 0.0000 0.0000  1.09

Calculated values
The total moment is 0.22 μB/atom. For the calculated volume, the calculation gives 10.83 A^3/atom. The relative energy among the computed polymorphs comes out at 0.0000 eV per atom.

Record 16
Computed, not measured: a geometry-optimized CsAgTe3Mo structure at the PBE level of DFT.

Lattice parameters (Å, degrees): 4.1670 8.8828 10.9024 90.00 90.00 76.43
Site moments in Bohr magnetons follow the coordinates.
Fractional coordinates of all 12 atoms:
Ag 0.4590 0.0821 0.2500  0.00
Ag 0.5410 0.9179 0.7500  0.00
Cs 0.7610 0.4781 0.2500  0.00
Cs 0.2391 0.5219 0.7500  0.00
Mo 0.0000 0.0000 0.0000  2.09
Mo 0.0000 0.0000 0.5000  2.10
Te 0.3890 0.2219 0.0267  -0.05
Te 0.0665 0.8670 0.2500  -0.10
Te 0.3890 0.2219 0.4733  -0.05
Te 0.6110 0.7781 0.5267  -0.05
Te 0.9335 0.1330 0.7500  -0.10
Te 0.6110 0.7781 0.9733  -0.05

Calculated values
The total moment is 0.36 μB/atom. For the calculated volume, the calculation gives 32.69 A^3/atom. The relative energy among the computed polymorphs comes out at 0.0688 eV per atom.

Record 17
Computed, not measured: a geometry-optimized Th2Ga structure at the PBE level of DFT.

Lattice parameters (Å, degrees): 9.0062 9.0062 9.0062 60.00 60.00 60.00
Site moments in Bohr magnetons follow the coordinates.
Fractional coordinates of all 6 atoms:
Ga 0.2500 0.2500 0.2500  0.01
Ga 0.5000 0.5000 0.5000  0.01
Th 0.8750 0.3750 0.3750  0.41
Th 0.3750 0.3750 0.3750  0.37
Th 0.3750 0.8750 0.3750  0.38
Th 0.3750 0.3750 0.8750  0.36

Calculated values
The total moment is 0.67 μB/atom. For the total energy, the calculation gives -3.90 eV/atom. For the calculated volume, the calculation gives 86.09 A^3/atom.

Record 18
Computed, not measured: a geometry-optimized Tl2NiBr6 structure at the PBE level of DFT.

Lattice parameters (Å, degrees): 7.0944 7.0944 10.8035 90.00 90.00 90.00
Fractional coordinates of all 18 atoms:
Br 0.7300 0.2080 0.0000
Br 0.2080 0.2700 0.0000
Br 0.7920 0.7300 0.0000
Br 0.2700 0.7920 0.0000
Br 0.0000 0.0000 0.2243
Br 0.5000 0.5000 0.2757
Br 0.7080 0.2300 0.5000
Br 0.2300 0.2920 0.5000
Br 0.7700 0.7080 0.5000
Br 0.2920 0.7700 0.5000
Br 0.5000 0.5000 0.7243
Br 0.0000 0.0000 0.7757
Ni 0.0000 0.0000 0.0000
Ni 0.5000 0.5000 0.5000
Tl 0.5000 0.0000 0.2500
Tl 0.0000 0.5000 0.2500
Tl 0.5000 0.0000 0.7500
Tl 0.0000 0.5000 0.7500

Calculated values
The total moment is 0.00 μB/atom. For the total energy, the calculation gives -2.75 eV/atom. For the calculated volume, the calculation gives 30.21 A^3/atom.

Record 19
Computed, not measured: a geometry-optimized NaZrTaFe structure at the PBE level of DFT.

Lattice parameters (Å, degrees): 4.5749 4.5749 4.5749 60.00 60.00 60.00
Fractional coordinates of all 4 atoms:
Fe 0.2500 0.2500 0.2500
Na 0.7500 0.7500 0.7500
Ta 0.5000 0.5000 0.5000
Zr 0.0000 0.0000 0.0000

Calculated values
The total moment is 0.00 μB/atom. For the calculated volume, the calculation gives 16.93 A^3/atom. The relative energy among the computed polymorphs comes out at 0.0000 eV per atom.

Record 20
Computed, not measured: a geometry-optimized BaErBi structure at the PBE level of DFT.

Lattice parameters (Å, degrees): 5.4527 5.4527 5.4527 60.00 60.00 60.00
Fractional coordinates of all 3 atoms:
Ba 0.2500 0.2500 0.2500
Bi 0.7500 0.7500 0.7500
Er 0.0000 0.0000 0.0000

Calculated values
The total moment is 0.02 μB/atom. For the total energy, the calculation gives -3.47 eV/atom. For the calculated volume, the calculation gives 38.21 A^3/atom.